ZnSb2OsI: relaxed, PBE.

```
ZnSb2OsI
1.0
5.0685 0.0000 0.0000
0.0000 5.0685 0.0000
0.0000 0.0000 5.9262
I Sb Os Zn
1 2 1 1
Direct
0.0000 0.0000 0.5000 I
0.5000 0.0000 0.0000 Sb
0.0000 0.5000 0.0000 Sb
0.0000 0.0000 0.0000 Os
0.5000 0.5000 0.5000 Zn
```

The calculation puts the energy relative to the elements, uncorrected at 0.66 eV per atom. The volume is 30.45 Å³/atom.

***

AgWSe: relaxed, PBE.

```
AgWSe
1.0
4.3044 0.0000 0.0000
-2.1522 3.7277 0.0000
0.0000 0.0000 3.3297
Se W Ag
1 1 1
Direct
0.6667 0.3333 0.5000 Se
0.3333 0.6667 0.5000 W
0.0000 0.0000 0.0000 Ag
```

The calculation puts the energy relative to the elements, uncorrected at 0.62 eV per atom. The volume is 17.81 Å³/atom.